Entry A
A plane-wave DFT calculation with PBE was carried out for a relaxed GeMo2Cl crystal.

Calculated values
- Spin magnetization: 0.0 μB/f.u.
- Symmetry: I-42d, No. 122
- Crystal system: tetragonal

a b c (Å): 8.5986 8.5986 8.5986
angles (deg): 151.52 151.52 40.72
With the nearest neighbours (Å) after each atom.
Fractional positions:
Ge: 0.0000 0.0000 0.0000  4 Mo 2.61
Ge: 0.7500 0.2500 0.5000  4 Mo 2.61
Mo: 0.1753 0.6250 0.0503  2 Cl 2.43, 2 Ge 2.61, 2 Mo 2.71
Mo: 0.3750 0.4253 0.5503  2 Cl 2.43, 2 Ge 2.61, 2 Mo 2.71
Mo: 0.5747 0.1250 0.9497  2 Cl 2.43, 2 Ge 2.61, 2 Mo 2.71
Mo: 0.8750 0.8247 0.4497  2 Cl 2.43, 2 Ge 2.61, 2 Mo 2.71
Cl: 0.2500 0.7500 0.5000  4 Mo 2.43
Cl: 0.5000 0.5000 0.0000  4 Mo 2.43

=====

Entry B
A plane-wave DFT calculation with PBE was carried out for a relaxed GeMo2Cl crystal.

Calculated values
- Spin magnetization: 0.0 μB/f.u.
- Symmetry: Fm-3m, No. 225
- Crystal system: cubic

a b c (Å): 4.4193 4.4193 4.4193
angles (deg): 60.00 60.00 60.00
With the nearest neighbours (Å) after each atom.
Fractional positions:
Ge: 0.0000 0.0000 0.0000  8 Mo 2.71
Mo: 0.2500 0.2500 0.2500  4 Cl 2.71, 4 Ge 2.71
Mo: 0.7500 0.7500 0.7500  4 Cl 2.71, 4 Ge 2.71
Cl: 0.5000 0.5000 0.5000  8 Mo 2.71

=====

It is entry A that is the least stable of them.

=====

Entry A
A plane-wave DFT calculation with PBE was carried out for a relaxed GeMoP2Cl crystal.

Calculated values
- Spin magnetization: 3.1 μB/f.u.
- Symmetry: P4/mmm, No. 123
- Crystal system: tetragonal

a b c (Å): 4.7245 4.7245 4.7093
angles (deg): 90.00 90.00 90.00
With the nearest neighbours (Å) after each atom.
Fractional positions:
Ge: 0.0000 0.0000 0.0000  2 Cl 2.35, 4 P 2.36
Mo: 0.5000 0.5000 0.5000  8 P 3.34, 4 Cl 3.34
P: 0.0000 0.5000 0.0000  2 Ge 2.36
P: 0.5000 0.0000 0.0000  2 Ge 2.36
Cl: 0.0000 0.0000 0.5000  2 Ge 2.35

=====

Entry B
A plane-wave DFT calculation with PBE was carried out for a relaxed GeMoP2Cl crystal.

Calculated values
- Spin magnetization: 0.0 μB/f.u.
- Symmetry: P4/mmm, No. 123
- Crystal system: tetragonal

a b c (Å): 4.6562 4.6562 5.0394
angles (deg): 90.00 90.00 90.00
With the nearest neighbours (Å) after each atom.
Fractional positions:
Ge: 0.0000 0.0000 0.0000  4 Cl 3.29, 8 P 3.43
Mo: 0.5000 0.5000 0.5000  4 P 2.33, 2 Cl 2.52
P: 0.0000 0.5000 0.5000  2 Mo 2.33
P: 0.5000 0.0000 0.5000  2 Mo 2.33
Cl: 0.5000 0.5000 0.0000  2 Mo 2.52

=====

It is entry A that is the least stable of them.

=====

Entry A
A plane-wave DFT calculation with PBE was carried out for a relaxed GeNCl3 crystal.

Calculated values
- Spin magnetization: 3.0 μB/f.u.
- Symmetry: Pnma, No. 62
- Crystal system: orthorhombic

a b c (Å): 8.2867 7.8112 10.9122
angles (deg): 90.00 90.00 90.00
With the nearest neighbours (Å) after each atom.
Fractional positions:
Ge: 0.2497 0.2500 0.1334  4 Cl 2.18-2.43
Ge: 0.2503 0.7500 0.6334  4 Cl 2.18-2.43
Ge: 0.7497 0.2500 0.3666  4 Cl 2.18-2.43
Ge: 0.7503 0.7500 0.8666  4 Cl 2.18-2.43
N: 0.0051 0.2500 0.7470  10 Cl 3.90-3.98, 2 N 4.14
N: 0.4949 0.7500 0.2470  10 Cl 3.90-3.98, 2 N 4.14
N: 0.5051 0.2500 0.7530  10 Cl 3.90-3.98, 2 N 4.14
N: 0.9949 0.7500 0.2530  10 Cl 3.90-3.98, 2 N 4.14
Cl: 0.9999 0.2500 0.2502  2 Ge 2.43
Cl: 0.0001 0.7500 0.7498  2 Ge 2.43
Cl: 0.2496 0.0254 0.0150  1 Ge 2.18
Cl: 0.2496 0.4746 0.0150  1 Ge 2.18
Cl: 0.2504 0.5254 0.5150  1 Ge 2.18
Cl: 0.2504 0.9746 0.5150  1 Ge 2.18
Cl: 0.4999 0.2500 0.2498  2 Ge 2.43
Cl: 0.5001 0.7500 0.7502  2 Ge 2.43
Cl: 0.7496 0.0254 0.4850  1 Ge 2.18
Cl: 0.7496 0.4746 0.4850  1 Ge 2.18
Cl: 0.7504 0.5254 0.9850  1 Ge 2.18
Cl: 0.7504 0.9746 0.9850  1 Ge 2.18

=====

Entry B
A plane-wave DFT calculation with PBE was carried out for a relaxed GeNCl3 crystal.

Calculated values
- Spin magnetization: 3.0 μB/f.u.
- Symmetry: R3m, No. 160
- Crystal system: trigonal

a b c (Å): 5.2552 5.2552 5.2552
angles (deg): 86.28 86.28 86.28
With the nearest neighbours (Å) after each atom.
Fractional positions:
Ge: 0.0000 0.0000 0.0000  3 Cl 2.21
N: 0.4262 0.4262 0.4262  12 Cl 3.59-3.90
Cl: 0.4137 0.9188 0.9188  1 Ge 2.21
Cl: 0.9188 0.4137 0.9188  1 Ge 2.21
Cl: 0.9188 0.9188 0.4137  1 Ge 2.21

=====

It is entry B that is the least stable of them.

=====

Entry A
A plane-wave DFT calculation with PBE was carried out for a relaxed GeN2Cl crystal.

Calculated values
- Spin magnetization: 0.0 μB/f.u.
- Symmetry: R-3m, No. 166
- Crystal system: trigonal

a b c (Å): 6.1755 6.1755 6.1755
angles (deg): 35.51 35.51 35.51
With the nearest neighbours (Å) after each atom.
Fractional positions:
Ge: 0.0000 0.0000 0.0000  2 N 1.76
N: 0.1013 0.1013 0.1013  1 Ge 1.76
N: 0.8987 0.8987 0.8987  1 Ge 1.76
Cl: 0.5000 0.5000 0.5000  6 N 2.45

=====

Entry B
A plane-wave DFT calculation with PBE was carried out for a relaxed GeN2Cl crystal.

Calculated values
- Spin magnetization: 0.0 μB/f.u.
- Symmetry: Fm-3m, No. 225
- Crystal system: cubic

a b c (Å): 4.0533 4.0533 4.0533
angles (deg): 60.00 60.00 60.00
With the nearest neighbours (Å) after each atom.
Fractional positions:
Ge: 0.0000 0.0000 0.0000  8 N 2.48
N: 0.2500 0.2500 0.2500  4 Cl 2.48, 4 Ge 2.48
N: 0.7500 0.7500 0.7500  4 Cl 2.48, 4 Ge 2.48
Cl: 0.5000 0.5000 0.5000  8 N 2.48

=====

Entry C
A plane-wave DFT calculation with PBE was carried out for a relaxed GeN2Cl crystal.

Calculated values
- Spin magnetization: 0.5 μB/f.u.
- Symmetry: R-3m, No. 166
- Crystal system: trigonal

a b c (Å): 6.1724 6.1724 6.1724
angles (deg): 29.01 29.01 29.01
With the nearest neighbours (Å) after each atom.
Fractional positions:
Ge: 0.0000 0.0000 0.0000  6 N 2.05
N: 0.3900 0.3900 0.3900  1 Cl 1.95, 3 Ge 2.05
N: 0.6100 0.6100 0.6100  1 Cl 1.95, 3 Ge 2.05
Cl: 0.5000 0.5000 0.5000  2 N 1.95

=====

It is entry B that is the least stable of them.

=====

Entry A
A plane-wave DFT calculation with PBE was carried out for a relaxed GeSN2Cl crystal.

Calculated values
- Spin magnetization: 0.4 μB/f.u.
- Symmetry: P4/mmm, No. 123
- Crystal system: tetragonal

a b c (Å): 3.6467 3.6467 6.2350
angles (deg): 90.00 90.00 90.00
With the nearest neighbours (Å) after each atom.
Fractional positions:
Ge: 0.0000 0.0000 0.0000  4 N 1.82
S: 0.0000 0.0000 0.5000  4 Cl 2.58
N: 0.0000 0.5000 0.0000  2 Ge 1.82
N: 0.5000 0.0000 0.0000  2 Ge 1.82
Cl: 0.5000 0.5000 0.5000  4 S 2.58

=====

Entry B
A plane-wave DFT calculation with PBE was carried out for a relaxed GeSN2Cl crystal.

Calculated values
- Spin magnetization: 2.3 μB/f.u.
- Symmetry: P4/mmm, No. 123
- Crystal system: tetragonal

a b c (Å): 4.0183 4.0183 4.7913
angles (deg): 90.00 90.00 90.00
With the nearest neighbours (Å) after each atom.
Fractional positions:
Ge: 0.0000 0.0000 0.0000  4 S 2.84, 8 N 3.13
S: 0.5000 0.5000 0.0000  2 Cl 2.40
N: 0.0000 0.5000 0.5000  2 Cl 2.01
N: 0.5000 0.0000 0.5000  2 Cl 2.01
Cl: 0.5000 0.5000 0.5000  4 N 2.01

=====

It is entry B that is the least stable of them.

=====

Entry A
A plane-wave DFT calculation with PBE was carried out for a relaxed GeS2NCl crystal.

Calculated values
- Spin magnetization: 2.5 μB/f.u.
- Symmetry: P4/mmm, No. 123
- Crystal system: tetragonal

a b c (Å): 4.9789 4.9789 3.6389
angles (deg): 90.00 90.00 90.00
With the nearest neighbours (Å) after each atom.
Fractional positions:
Ge: 0.0000 0.0000 0.0000  2 N 1.82
S: 0.0000 0.5000 0.0000  2 Ge 2.49
S: 0.5000 0.0000 0.0000  2 Ge 2.49
N: 0.0000 0.0000 0.5000  2 Ge 1.82
Cl: 0.5000 0.5000 0.5000  8 S 3.08

=====

Entry B
A plane-wave DFT calculation with PBE was carried out for a relaxed GeS2NCl crystal.

Calculated values
- Spin magnetization: 1.6 μB/f.u.
- Symmetry: P4/mmm, No. 123
- Crystal system: tetragonal

a b c (Å): 4.8728 4.8728 3.8084
angles (deg): 90.00 90.00 90.00
With the nearest neighbours (Å) after each atom.
Fractional positions:
Ge: 0.0000 0.0000 0.0000  8 S 3.09, 4 N 3.45
S: 0.0000 0.5000 0.5000  2 Cl 2.44
S: 0.5000 0.0000 0.5000  2 Cl 2.44
N: 0.5000 0.5000 0.0000  2 Cl 1.90
Cl: 0.5000 0.5000 0.5000  2 N 1.90

=====

It is entry B that is the least stable of them.